Record 1
First-principles (PBE) data for an optimized crystal structure of LuTc4Mo, as listed in the Alexandria database.

Unit cell a=5.212 b=5.212 c=5.212 alpha=60.00 beta=60.00 gamma=60.00
Sites, in units of the cell vectors:
Tc 0.125 0.625 0.625
Tc 0.625 0.125 0.625
Mo 0.000 0.000 0.000
Tc 0.625 0.625 0.125
Lu 0.250 0.250 0.250
Tc 0.625 0.625 0.625

Record 2
First-principles (PBE) data for an optimized crystal structure of LuThTcMo, as listed in the Alexandria database.

Unit cell a=4.898 b=4.898 c=4.898 alpha=60.00 beta=60.00 gamma=60.00
Sites, in units of the cell vectors:
Th 0.250 0.250 0.250
Lu 0.750 0.750 0.750
Tc 0.500 0.500 0.500
Mo 0.000 0.000 0.000

Record 3
First-principles (PBE) data for an optimized crystal structure of LuTcMoW, as listed in the Alexandria database.

Unit cell a=4.588 b=4.588 c=4.588 alpha=60.00 beta=60.00 gamma=60.00
Sites, in units of the cell vectors:
Mo 0.000 0.000 0.000
Tc 0.500 0.500 0.500
W 0.250 0.250 0.250
Lu 0.750 0.750 0.750

Record 4
First-principles (PBE) data for an optimized crystal structure of LuTh2Mo, as listed in the Alexandria database.

Unit cell a=3.597 b=3.597 c=8.345 alpha=90.00 beta=90.00 gamma=90.00
Sites, in units of the cell vectors:
Lu 0.500 0.500 0.500
Mo 0.500 0.500 0.000
Th 0.000 0.000 0.787
Th 0.000 0.000 0.213

Record 5
First-principles (PBE) data for an optimized crystal structure of TmLuMo4, as listed in the Alexandria database.

Unit cell a=5.479 b=5.479 c=5.479 alpha=60.00 beta=60.00 gamma=60.00
Sites, in units of the cell vectors:
Mo 0.625 0.625 0.625
Mo 0.625 0.625 0.125
Lu 0.000 0.000 0.000
Mo 0.625 0.125 0.625
Mo 0.125 0.625 0.625
Tm 0.250 0.250 0.250

Record 6
First-principles (PBE) data for an optimized crystal structure of LuVMo, as listed in the Alexandria database.

Unit cell a=3.270 b=3.270 c=5.724 alpha=106.60 beta=106.60 gamma=90.00
Sites, in units of the cell vectors:
V 0.586 0.586 0.172
Mo 0.978 0.978 0.957
Lu 0.286 0.286 0.571

Record 7
First-principles (PBE) data for an optimized crystal structure of LuV4Mo, as listed in the Alexandria database.

Unit cell a=5.119 b=5.119 c=5.119 alpha=60.00 beta=60.00 gamma=60.00
Sites, in units of the cell vectors:
Mo 0.250 0.250 0.250
V 0.625 0.625 0.625
V 0.625 0.625 0.124
Lu 0.000 0.000 0.000
V 0.625 0.124 0.625
V 0.124 0.625 0.625

Record 8
First-principles (PBE) data for an optimized crystal structure of LuMo4W, as listed in the Alexandria database.

Unit cell a=5.321 b=5.321 c=5.321 alpha=60.00 beta=60.00 gamma=60.00
Sites, in units of the cell vectors:
Mo 0.625 0.625 0.126
Mo 0.625 0.625 0.625
Mo 0.126 0.625 0.625
Lu 0.000 0.000 0.000
W 0.250 0.250 0.250
Mo 0.625 0.126 0.625

Formation energy / kJ/mol of formula units: 17 45 35 57 16 36 102 92
V / Å³/cell: 100.1 83.1 68.3 108.0 116.3 56.0 94.9 106.5
N(E_F) / states/eV per cell: 8.438 5.013 5.807 4.464 6.232 3.116 11.492 4.073